Material: MgInNi2
Method: DFT, SCAN
State: PBEsol geometry

Summary:
The energy of formation from the pure elements is -0.0891 eV/atom. Its size of the total moment is 0.00 μB per formula unit. The calculation puts the total energy at -17.77 eV/atom. The density of states at the Fermi level comes out at 2.6 states/eV per cell.

Unit cell a=2.9362 b=4.3746 c=4.9521 alpha=108.04 beta=107.24 gamma=90.00
Sites, in units of the cell vectors:
Ni1 0.9802 0.0225 0.9604
Ni2 0.2665 0.7253 0.5330
Mg1 0.7352 0.2019 0.4704
In1 0.5181 0.5503 0.0362